# 1
## CaNiAu4 (GGA-PBE)

Data for a relaxed structure of CaNiAu4.

a = 5.5167 Å, b = 5.5167 Å, c = 5.5167 Å
α = 60.00°, β = 60.00°, γ = 60.00°
Closest atoms and distances in Å follow each position.
Atoms (fractional coordinates):
1 Ca 0.7500 0.7500 0.7500  12 Au 3.24, 4 Ni 3.38
2 Ni 0.0000 0.0000 0.0000  12 Au 3.23, 4 Ca 3.38
3 Au 0.8763 0.3746 0.3746  6 Au 2.75-2.77
4 Au 0.3746 0.3746 0.8763  6 Au 2.75-2.77
5 Au 0.3746 0.8763 0.3746  6 Au 2.75-2.77
6 Au 0.3746 0.3746 0.3746  6 Au 2.75-2.77

## Properties
- total DFT energy (no corrections) (eV per atom) = -3.656
- formation energy (eV/atom) = -0.174

# 2
## CaPmNiAu (GGA-PBE)

Data for a relaxed structure of CaPmNiAu.

a = 5.0472 Å, b = 5.0472 Å, c = 5.0472 Å
α = 60.00°, β = 60.00°, γ = 60.00°
Closest atoms and distances in Å follow each position.
Atoms (fractional coordinates):
1 Ni 0.2500 0.2500 0.2500  4 Ca 3.09, 4 Pm 3.09
2 Ca 0.5000 0.5000 0.5000  4 Au 3.09, 4 Ni 3.09
3 Au 0.7500 0.7500 0.7500  4 Ca 3.09, 4 Pm 3.09
4 Pm 0.0000 0.0000 0.0000  4 Ni 3.09, 4 Au 3.09

## Properties
- total DFT energy (no corrections) (eV per atom) = -4.402
- formation energy (eV/atom) = -0.449

# 3
## CaPrNiAu (GGA-PBE)

Data for a relaxed structure of CaPrNiAu.

a = 5.0904 Å, b = 5.0904 Å, c = 5.0904 Å
α = 60.00°, β = 60.00°, γ = 60.00°
Closest atoms and distances in Å follow each position.
Atoms (fractional coordinates):
1 Pr 0.5000 0.5000 0.5000  4 Ni 3.12, 4 Au 3.12
2 Ni 0.2500 0.2500 0.2500  4 Pr 3.12, 4 Ca 3.12
3 Ca 0.0000 0.0000 0.0000  4 Au 3.12, 4 Ni 3.12
4 Au 0.7500 0.7500 0.7500  4 Ca 3.12, 4 Pr 3.12

## Properties
- total DFT energy (no corrections) (eV per atom) = -4.390
- formation energy (eV/atom) = -0.430

# 4
## CaNiAu2S (GGA-PBE)

Data for a relaxed structure of CaNiAu2S.

a = 5.2569 Å, b = 4.7441 Å, c = 5.2569 Å
α = 90.00°, β = 90.00°, γ = 90.00°
Closest atoms and distances in Å follow each position.
Atoms (fractional coordinates):
1 Ni 0.0000 0.5000 0.0000  2 Ca 2.37
2 Ca 0.0000 0.0000 0.0000  2 Ni 2.37, 4 Au 2.63
3 Au 0.0000 0.0000 0.5000  2 Ca 2.63
4 Au 0.5000 0.0000 0.0000  2 Ca 2.63
5 S 0.5000 0.5000 0.5000  8 Au 3.54, 4 Ni 3.72

## Properties
- total DFT energy (no corrections) (eV per atom) = -2.450
- raw formation energy (eV per atom) = 1.243

# 5
## CaNiSnAu (GGA-PBE)

Data for a relaxed structure of CaNiSnAu.

a = 4.8129 Å, b = 4.8129 Å, c = 4.8129 Å
α = 60.00°, β = 60.00°, γ = 60.00°
Closest atoms and distances in Å follow each position.
Atoms (fractional coordinates):
1 Ni 0.7500 0.7500 0.7500  4 Sn 2.95, 4 Ca 2.95
2 Ca 0.0000 0.0000 0.0000  4 Ni 2.95, 4 Au 2.95
3 Au 0.2500 0.2500 0.2500  4 Sn 2.95, 4 Ca 2.95
4 Sn 0.5000 0.5000 0.5000  4 Au 2.95, 4 Ni 2.95

## Properties
- total DFT energy (no corrections) (eV per atom) = -4.095
- formation energy (eV/atom) = -0.329

# 6
## CaTbNiAu (GGA-PBE)

Data for a relaxed structure of CaTbNiAu.

a = 4.9800 Å, b = 4.9800 Å, c = 4.9800 Å
α = 60.00°, β = 60.00°, γ = 60.00°
Closest atoms and distances in Å follow each position.
Atoms (fractional coordinates):
1 Tb 0.0000 0.0000 0.0000  4 Ni 3.05, 4 Au 3.05
2 Ca 0.5000 0.5000 0.5000  4 Au 3.05, 4 Ni 3.05
3 Au 0.7500 0.7500 0.7500  4 Tb 3.05, 4 Ca 3.05
4 Ni 0.2500 0.2500 0.2500  4 Ca 3.05, 4 Tb 3.05

## Properties
- total DFT energy (no corrections) (eV per atom) = -4.398
- formation energy (eV/atom) = -0.476

# 7
## CaYNi2Au (GGA-PBE)

Data for a relaxed structure of CaYNi2Au.

a = 4.9041 Å, b = 4.9926 Å, c = 4.9041 Å
α = 90.00°, β = 90.00°, γ = 90.00°
Closest atoms and distances in Å follow each position.
Atoms (fractional coordinates):
1 Y 0.5000 0.5000 0.5000  4 Ca 3.47, 8 Ni 3.50
2 Ni 0.0000 0.0000 0.5000  2 Au 2.45
3 Ni 0.5000 0.0000 0.0000  2 Au 2.45
4 Ca 0.0000 0.5000 0.0000  2 Au 2.50
5 Au 0.0000 0.0000 0.0000  4 Ni 2.45, 2 Ca 2.50

## Properties
- total DFT energy (no corrections) (eV per atom) = -4.229
- formation energy (eV/atom) = 0.432

# 8
## CaZn2NiAu4 (GGA-PBE)

Data for a relaxed structure of CaZn2NiAu4.

a = 4.4972 Å, b = 4.4972 Å, c = 8.6736 Å
α = 74.97°, β = 74.97°, γ = 60.00°
Closest atoms and distances in Å follow each position.
Atoms (fractional coordinates):
1 Ca 0.0000 0.0000 0.0000  8 Au 3.04-3.22
2 Zn 0.7595 0.7595 0.7215  7 Au 2.70-2.75
3 Zn 0.2405 0.2405 0.2785  7 Au 2.70-2.75
4 Ni 0.5000 0.5000 0.5000  8 Au 2.57-2.75
5 Au 0.3967 0.3967 0.8100  1 Ni 2.57, 3 Zn 2.70
6 Au 0.8702 0.8702 0.3895  4 Zn 2.75, 3 Ni 2.75, 3 Au 3.08
7 Au 0.1298 0.1298 0.6105  4 Zn 2.75, 3 Ni 2.75, 3 Au 3.08
8 Au 0.6033 0.6033 0.1900  1 Ni 2.57, 3 Zn 2.70

## Properties
- total DFT energy (no corrections) (eV per atom) = -3.218
- formation energy (eV/atom) = -0.288

# 9
## Ca2ZnNiAu6 (GGA-PBE)

Data for a relaxed structure of Ca2ZnNiAu6.

a = 6.9007 Å, b = 6.9007 Å, c = 6.9007 Å
α = 60.00°, β = 60.00°, γ = 90.00°
Closest atoms and distances in Å follow each position.
Atoms (fractional coordinates):
1 Ca 0.2500 0.7500 0.5000  12 Au 3.45
2 Ca 0.7500 0.2500 0.5000  12 Au 3.45
3 Zn 0.5000 0.5000 0.0000  6 Au 2.46
4 Ni 0.0000 0.0000 0.0000  6 Au 2.42
5 Au 0.2480 0.7520 0.0000  1 Ni 2.42, 1 Zn 2.46
6 Au 0.7520 0.7520 0.0000  1 Ni 2.42, 1 Zn 2.46
7 Au 0.2480 0.2480 0.5041  1 Ni 2.42, 1 Zn 2.46
8 Au 0.7520 0.2480 0.0000  1 Ni 2.42, 1 Zn 2.46
9 Au 0.2480 0.2480 0.0000  1 Ni 2.42, 1 Zn 2.46
10 Au 0.7520 0.7520 0.4959  1 Ni 2.42, 1 Zn 2.46

## Properties
- total DFT energy (no corrections) (eV per atom) = -3.280
- formation energy (eV/atom) = -0.208

# 10
## CaNpAu4 (GGA-PBE)

Data for a relaxed structure of CaNpAu4.

a = 5.6919 Å, b = 5.6919 Å, c = 5.6919 Å
α = 60.00°, β = 60.00°, γ = 60.00°
Closest atoms and distances in Å follow each position.
Atoms (fractional coordinates):
1 Np 0.2500 0.2500 0.2500  12 Au 3.34, 4 Ca 3.49
2 Ca 0.0000 0.0000 0.0000  12 Au 3.34, 4 Np 3.49
3 Au 0.6252 0.6252 0.1244  6 Au 2.84-2.85
4 Au 0.6252 0.1244 0.6252  6 Au 2.84-2.85
5 Au 0.6252 0.6252 0.6252  6 Au 2.84-2.85
6 Au 0.1244 0.6252 0.6252  6 Au 2.84-2.85

## Properties
- total DFT energy (no corrections) (eV per atom) = -4.906
- formation energy (eV/atom) = -0.231

# 11
## CaNpAu2 (GGA-PBE)

Data for a relaxed structure of CaNpAu2.

a = 3.2568 Å, b = 5.3669 Å, c = 5.3669 Å
α = 90.00°, β = 90.00°, γ = 90.00°
Closest atoms and distances in Å follow each position.
Atoms (fractional coordinates):
1 Np 0.5000 0.0000 0.0000  8 Au 3.14, 2 Np 3.26
2 Ca 0.5000 0.5000 0.5000  8 Au 3.14, 2 Ca 3.26
3 Au 0.0000 0.0000 0.5000  4 Ca 3.14, 4 Np 3.14, 2 Au 3.26
4 Au 0.0000 0.5000 0.0000  4 Ca 3.14, 4 Np 3.14, 2 Au 3.26

## Properties
- total DFT energy (no corrections) (eV per atom) = -5.742
- formation energy (eV/atom) = -0.368

# 12
## CaNpSbAu (GGA-PBE)

Data for a relaxed structure of CaNpSbAu.

a = 5.2852 Å, b = 5.2852 Å, c = 5.2852 Å
α = 60.00°, β = 60.00°, γ = 60.00°
Closest atoms and distances in Å follow each position.
Atoms (fractional coordinates):
1 Np 0.5000 0.5000 0.5000  4 Au 3.24, 4 Sb 3.24
2 Sb 0.2500 0.2500 0.2500  4 Ca 3.24, 4 Np 3.24
3 Ca 0.0000 0.0000 0.0000  4 Sb 3.24, 4 Au 3.24
4 Au 0.7500 0.7500 0.7500  4 Np 3.24, 4 Ca 3.24

## Properties
- total DFT energy (no corrections) (eV per atom) = -6.000
- raw formation energy (eV per atom) = -0.414

# 13
## Ca2NpSi3Au12 (GGA-PBE)

Data for a relaxed structure of Ca2NpSi3Au12.

a = 7.8558 Å, b = 7.8558 Å, c = 7.8558 Å
α = 69.40°, β = 69.40°, γ = 69.40°
Closest atoms and distances in Å follow each position.
Atoms (fractional coordinates):
1 Ca 0.5922 0.5922 0.5922  6 Au 2.90-3.13
2 Ca 0.4078 0.4078 0.4078  6 Au 2.90-3.13
3 Np 0.0000 0.0000 0.0000  6 Au 2.96
4 Si 0.5000 0.0000 0.0000  6 Au 2.47-2.49
5 Si 0.0000 0.5000 0.0000  6 Au 2.47-2.49
6 Si 0.0000 0.0000 0.5000  6 Au 2.47-2.49
7 Au 0.3016 0.3016 0.8481  2 Si 2.49
8 Au 0.8408 0.8408 0.4056  1 Si 2.47
9 Au 0.4056 0.8408 0.8408  1 Si 2.47
10 Au 0.8481 0.3016 0.3016  2 Si 2.49
11 Au 0.8408 0.4056 0.8408  1 Si 2.47
12 Au 0.3016 0.8481 0.3016  2 Si 2.49
13 Au 0.6984 0.6984 0.1519  2 Si 2.49
14 Au 0.1592 0.1592 0.5944  1 Si 2.47
15 Au 0.5944 0.1592 0.1592  1 Si 2.47
16 Au 0.1519 0.6984 0.6984  2 Si 2.49
17 Au 0.1592 0.5944 0.1592  1 Si 2.47
18 Au 0.6984 0.1519 0.6984  2 Si 2.49

## Properties
- total DFT energy (no corrections) (eV per atom) = -4.111
- raw formation energy (eV per atom) = -0.081